Density functional theory data (PBE with a Hubbard U) for a relaxed Li3Nb3Co2O12 crystal.

## Properties
Space-group type: Ia-3d (230)
Crystal system: cubic
VASP energy, eV per atom: -7.190

Geometry as extended XYZ:
```
80
Lattice="4.3690 -6.8054 -5.6162 5.9615 7.7759 0.9690 -1.9042 -3.8025 8.8802" Properties=species:S:1:pos:R:3 pbc="T T T"
Co 0.0000 0.0000 0.0000
Co 2.1845 -3.4027 -2.8081
Co 2.9808 3.8880 0.4845
Co 5.1653 0.4853 -2.3236
Co -0.9521 -1.9013 4.4401
Co 1.2324 -5.3040 1.6320
Co 2.0287 1.9867 4.9246
Co 4.2132 -1.4160 2.1165
Li 5.2743 -2.6634 -2.7387
Li 8.0560 -0.5981 -3.0774
Li 2.3057 1.1147 1.8814
Li 7.4709 1.5999 -0.4421
Li 1.1234 -2.1553 2.0472
Li 3.5070 -3.7354 0.0622
Li 4.9194 0.9033 4.1708
Li 7.3030 -0.6767 2.1859
Li 0.9555 -4.4319 4.6752
Li 6.1207 -3.9467 2.3517
Li 0.3704 -2.2339 7.3104
Li 3.1521 -0.1686 6.9718
Nb 6.0706 4.6272 0.5539
Nb 2.8907 -1.0834 -0.7538
Nb 4.0920 -5.9334 -2.5730
Nb 4.8883 1.3573 0.7196
Nb 4.3032 3.5553 3.3548
Nb 6.2887 -1.6701 -0.2764
Nb 4.1232 -6.3873 0.8782
Nb 2.1377 -1.1620 4.5095
Nb 3.5381 -4.1893 3.5134
Nb 4.3343 3.1013 6.8061
Nb 2.3558 -7.4593 3.6792
Nb 5.5356 -1.7487 4.9869
O 4.6197 3.2574 -0.2281
O 3.8053 0.8321 -1.0501
O 8.0269 2.4823 -1.8803
O 5.0547 -5.4908 -4.4359
O 9.0802 0.8455 -3.2285
O 4.0039 -3.8566 -3.0826
O 4.2137 4.7904 1.6056
O 4.7778 -1.2772 -1.7448
O 2.1839 -3.0983 -0.9376
O 1.1361 -1.4596 0.4126
O 3.3891 2.5136 1.7239
O 6.1714 0.4207 -0.7189
O 6.6473 2.5797 0.7897
O 3.3454 -0.0849 1.0839
O 6.6047 -3.2330 -1.7084
O 8.0359 -1.3614 -1.4733
O 4.3234 -2.1923 0.3912
O 6.2383 4.1082 2.6265
O 0.3664 -1.1526 3.3031
O 4.5102 -4.9885 -0.6987
O 3.0766 -6.8589 -0.9282
O 1.8025 0.7152 3.5377
O 5.7121 -0.4907 1.4176
O 5.4161 1.8303 2.7391
O 2.7143 -2.3414 2.8155
O 3.0103 -4.6624 1.4940
O 6.6239 -3.5473 0.6954
O 5.3498 4.0269 5.1612
O 8.0600 -1.6794 0.9299
O 3.9162 2.1565 4.9317
O 4.1030 -0.6398 3.8419
O 2.1881 -6.9403 1.6066
O 0.3905 -1.4706 5.7064
O 1.8217 0.4009 5.9415
O 5.0810 -2.7472 3.1492
O 1.7791 -5.4117 3.4434
O 2.2550 -3.2527 4.9520
O 5.0373 -5.3457 2.5092
O 7.2902 -1.3725 3.8204
O 6.2424 0.2662 5.1707
O 4.2127 -7.6224 2.6274
O 3.6486 -1.5548 5.9779
O 4.4225 1.0245 7.3157
O -0.6538 -3.6775 7.4616
O 3.3717 2.6587 8.6690
O 0.3995 -5.3143 6.1134
O 3.8067 -6.0894 4.4612
O 4.6211 -3.6641 5.2832
```